No. 1
The following is a DFT calculation (PBE) of a geometry-optimized TbTm2S3 structure.

```
TbTm2S3
1.0
-0.167 -1.934 -3.358
2.477 -4.273 2.338
-6.319 0.934 2.016
S Tb Tm
3 1 2
Direct
0.828 0.828 0.656
0.500 0.500 0.000
0.172 0.172 0.344
0.500 0.000 0.000
0.164 0.664 0.327
0.836 0.336 0.673
```

## Properties
SG   Immm, No. 71
D(E_F)   2.346 states/eV per cell
E_form (uncorrected)   -1.954 eV/atom


No. 2
The following is a DFT calculation (PBE) of a geometry-optimized Li2Ni3H8Pd structure.

```
Li2Ni3H8Pd
1.0
5.177 0.000 0.000
2.588 4.483 0.000
2.588 1.494 4.438
H Ni Pd Li
8 3 1 2
Direct
0.737 0.737 0.788
0.691 0.245 0.819
0.295 0.753 0.199
0.753 0.295 0.199
0.753 0.753 0.199
0.245 0.691 0.819
0.245 0.245 0.819
0.273 0.273 0.181
0.501 0.001 0.997
0.001 0.501 0.997
0.501 0.501 0.997
0.872 0.872 0.385
0.127 0.127 0.620
0.499 0.499 0.503
```

## Properties
SG   R3m, No. 160
D(E_F)   1.593 states/eV per cell


No. 3
The following is a DFT calculation (PBE) of a geometry-optimized La8IrRh2 structure.

```
La8IrRh2
1.0
6.567 0.088 -1.089
-2.112 6.829 -3.019
-0.231 -0.276 7.751
Rh La Ir
2 8 1
Direct
0.483 0.321 0.694
0.483 0.694 0.321
0.790 0.654 0.654
0.983 0.193 0.799
0.597 0.089 0.359
0.353 0.649 0.914
0.983 0.799 0.193
0.597 0.359 0.089
0.179 0.351 0.351
0.353 0.914 0.649
0.199 0.011 0.011
```

## Properties
DFT formation energy   -0.4023 eV per atom
SG   Cm, No. 8
D(E_F)   10.979 states/eV per cell


No. 4
The following is a DFT calculation (PBE) of a geometry-optimized LaNdTaN4 structure.

```
LaNdTaN4
1.0
-1.664 2.784 2.468
-2.505 1.161 -2.998
-2.168 -6.210 2.177
N Ta La Nd
4 1 1 1
Direct
0.831 0.831 0.661
0.497 0.997 0.993
0.997 0.497 0.993
0.168 0.168 0.336
0.003 0.003 0.005
0.647 0.647 0.294
0.359 0.359 0.717
```

## Properties
SG   I4mm, No. 107
D(E_F)   5.893 states/eV per cell
E_form (uncorrected)   -1.156 eV/atom


no.,final energy (eV per cell)
1,-37.7
2,-55.7
3,-67.4
4,-62.9